<i>
# PBE GeMoH3, optimized geometry
data_GeMoH3
_space_group_name_H-M_alt 'P 1'
_space_group_IT_number 1
_cell_length_a 3.492
_cell_length_b 3.492
_cell_length_c 3.492
_cell_angle_alpha 90.00
_cell_angle_beta 90.00
_cell_angle_gamma 90.00
loop_
_space_group_symop_operation_xyz
'x,y,z'
loop_
_atom_site_label
_atom_site_type_symbol
_atom_site_fract_x
_atom_site_fract_y
_atom_site_fract_z
Ge1 Ge 0.000 0.000 0.000
Mo1 Mo 0.500 0.500 0.500
H1 H 0.000 0.000 0.500
H2 H 0.000 0.500 0.000
H3 H 0.500 0.000 0.000
# Space-group type: Pm-3m, No. 221
# Size of the total moment: 0.00 μB per formula unit

<ii>
# PBE GeMoH3, optimized geometry
data_GeMoH3
_space_group_name_H-M_alt 'P 1'
_space_group_IT_number 1
_cell_length_a 3.593
_cell_length_b 3.593
_cell_length_c 3.593
_cell_angle_alpha 90.00
_cell_angle_beta 90.00
_cell_angle_gamma 90.00
loop_
_space_group_symop_operation_xyz
'x,y,z'
loop_
_atom_site_label
_atom_site_type_symbol
_atom_site_fract_x
_atom_site_fract_y
_atom_site_fract_z
Ge1 Ge 0.000 0.000 0.000
Mo1 Mo 0.500 0.500 0.500
H1 H 0.000 0.500 0.500
H2 H 0.500 0.000 0.500
H3 H 0.500 0.500 0.000
# Space-group type: Pm-3m, No. 221
# Size of the total moment: 0.63 μB per formula unit

Tell me which of them is the most stable. Sure, it is <ii>.

<i>
# PBE Ge3MoH, optimized geometry
data_Ge3MoH
_space_group_name_H-M_alt 'P 1'
_space_group_IT_number 1
_cell_length_a 4.875
_cell_length_b 4.875
_cell_length_c 4.875
_cell_angle_alpha 90.00
_cell_angle_beta 90.00
_cell_angle_gamma 90.00
loop_
_space_group_symop_operation_xyz
'x,y,z'
loop_
_atom_site_label
_atom_site_type_symbol
_atom_site_fract_x
_atom_site_fract_y
_atom_site_fract_z
Ge1 Ge 0.000 0.000 0.500
Ge2 Ge 0.000 0.500 0.000
Ge3 Ge 0.500 0.000 0.000
Mo1 Mo 0.000 0.000 0.000
H1 H 0.500 0.500 0.500
# Space-group type: Pm-3m, No. 221
# Size of the total moment: 0.92 μB per formula unit

<ii>
# PBE Ge3MoH, optimized geometry
data_Ge3MoH
_space_group_name_H-M_alt 'P 1'
_space_group_IT_number 1
_cell_length_a 4.173
_cell_length_b 4.173
_cell_length_c 4.173
_cell_angle_alpha 90.00
_cell_angle_beta 90.00
_cell_angle_gamma 90.00
loop_
_space_group_symop_operation_xyz
'x,y,z'
loop_
_atom_site_label
_atom_site_type_symbol
_atom_site_fract_x
_atom_site_fract_y
_atom_site_fract_z
Ge1 Ge 0.000 0.000 0.500
Ge2 Ge 0.000 0.500 0.000
Ge3 Ge 0.500 0.000 0.000
Mo1 Mo 0.500 0.500 0.500
H1 H 0.000 0.000 0.000
# Space-group type: Pm-3m, No. 221
# Size of the total moment: 1.81 μB per formula unit

Tell me which of them is the most stable. Sure, it is <ii>.

<i>
# PBE TlGeMoH2, optimized geometry
data_TlGeMoH2
_space_group_name_H-M_alt 'P 1'
_space_group_IT_number 1
_cell_length_a 3.868
_cell_length_b 3.868
_cell_length_c 5.700
_cell_angle_alpha 90.00
_cell_angle_beta 90.00
_cell_angle_gamma 90.00
loop_
_space_group_symop_operation_xyz
'x,y,z'
loop_
_atom_site_label
_atom_site_type_symbol
_atom_site_fract_x
_atom_site_fract_y
_atom_site_fract_z
Tl1 Tl 0.000 0.000 0.000
Ge1 Ge 0.500 0.500 0.000
Mo1 Mo 0.000 0.000 0.500
H1 H 0.000 0.500 0.500
H2 H 0.500 0.000 0.500
# Space-group type: P4/mmm, No. 123
# Size of the total moment: 2.30 μB per formula unit

<ii>
# PBE TlGeMoH2, optimized geometry
data_TlGeMoH2
_space_group_name_H-M_alt 'P 1'
_space_group_IT_number 1
_cell_length_a 3.872
_cell_length_b 3.872
_cell_length_c 5.369
_cell_angle_alpha 90.00
_cell_angle_beta 90.00
_cell_angle_gamma 90.00
loop_
_space_group_symop_operation_xyz
'x,y,z'
loop_
_atom_site_label
_atom_site_type_symbol
_atom_site_fract_x
_atom_site_fract_y
_atom_site_fract_z
Tl1 Tl 0.000 0.000 0.000
Ge1 Ge 0.500 0.500 0.500
Mo1 Mo 0.500 0.500 0.000
H1 H 0.000 0.500 0.500
H2 H 0.500 0.000 0.500
# Space-group type: P4/mmm, No. 123
# Size of the total moment: 1.75 μB per formula unit

Tell me which of them is the most stable. Sure, it is <i>.

<i>
# PBE GeTeHN2, optimized geometry
data_GeTeHN2
_space_group_name_H-M_alt 'P 1'
_space_group_IT_number 1
_cell_length_a 3.594
_cell_length_b 3.594
_cell_length_c 6.709
_cell_angle_alpha 90.00
_cell_angle_beta 90.00
_cell_angle_gamma 90.00
loop_
_space_group_symop_operation_xyz
'x,y,z'
loop_
_atom_site_label
_atom_site_type_symbol
_atom_site_fract_x
_atom_site_fract_y
_atom_site_fract_z
Ge1 Ge 0.000 0.000 0.000
Te1 Te 0.000 0.000 0.500
H1 H 0.500 0.500 0.500
N1 N 0.000 0.500 0.000
N2 N 0.500 0.000 0.000
# Space-group type: P4/mmm, No. 123
# Size of the total moment: 0.38 μB per formula unit

<ii>
# PBE GeTeHN2, optimized geometry
data_GeTeHN2
_space_group_name_H-M_alt 'P 1'
_space_group_IT_number 1
_cell_length_a 4.269
_cell_length_b 4.269
_cell_length_c 3.457
_cell_angle_alpha 90.00
_cell_angle_beta 90.00
_cell_angle_gamma 90.00
loop_
_space_group_symop_operation_xyz
'x,y,z'
loop_
_atom_site_label
_atom_site_type_symbol
_atom_site_fract_x
_atom_site_fract_y
_atom_site_fract_z
Ge1 Ge 0.000 0.000 0.000
Te1 Te 0.500 0.500 0.000
H1 H 0.500 0.500 0.500
N1 N 0.000 0.500 0.500
N2 N 0.500 0.000 0.500
# Space-group type: P4/mmm, No. 123
# Size of the total moment: 1.17 μB per formula unit

Tell me which of them is the most stable. Sure, it is <i>.

<i>
# PBE NaGe3H, optimized geometry
data_NaGe3H
_space_group_name_H-M_alt 'P 1'
_space_group_IT_number 1
_cell_length_a 4.377
_cell_length_b 4.377
_cell_length_c 4.377
_cell_angle_alpha 90.00
_cell_angle_beta 90.00
_cell_angle_gamma 90.00
loop_
_space_group_symop_operation_xyz
'x,y,z'
loop_
_atom_site_label
_atom_site_type_symbol
_atom_site_fract_x
_atom_site_fract_y
_atom_site_fract_z
Na1 Na 0.000 0.000 0.000
Ge1 Ge 0.000 0.500 0.500
Ge2 Ge 0.500 0.000 0.500
Ge3 Ge 0.500 0.500 0.000
H1 H 0.500 0.500 0.500
# Space-group type: Pm-3m, No. 221
# Size of the total moment: 0.00 μB per formula unit

<ii>
# PBE NaGe3H, optimized geometry
data_NaGe3H
_space_group_name_H-M_alt 'P 1'
_space_group_IT_number 1
_cell_length_a 5.114
_cell_length_b 5.114
_cell_length_c 5.114
_cell_angle_alpha 90.00
_cell_angle_beta 90.00
_cell_angle_gamma 90.00
loop_
_space_group_symop_operation_xyz
'x,y,z'
loop_
_atom_site_label
_atom_site_type_symbol
_atom_site_fract_x
_atom_site_fract_y
_atom_site_fract_z
Na1 Na 0.000 0.000 0.000
Ge1 Ge 0.000 0.000 0.500
Ge2 Ge 0.000 0.500 0.000
Ge3 Ge 0.500 0.000 0.000
H1 H 0.500 0.500 0.500
# Space-group type: Pm-3m, No. 221
# Size of the total moment: 0.76 μB per formula unit

Tell me which of them is the most stable. Sure, it is <i>.

<i>
# PBE Na2GeH, optimized geometry
data_Na2GeH
_space_group_name_H-M_alt 'P 1'
_space_group_IT_number 1
_cell_length_a 6.078
_cell_length_b 6.078
_cell_length_c 6.078
_cell_angle_alpha 115.81
_cell_angle_beta 115.81
_cell_angle_gamma 97.43
loop_
_space_group_symop_operation_xyz
'x,y,z'
loop_
_atom_site_label
_atom_site_type_symbol
_atom_site_fract_x
_atom_site_fract_y
_atom_site_fract_z
Na1 Na 0.007 0.625 0.882
Na2 Na 0.375 0.257 0.382
Na3 Na 0.743 0.125 0.118
Na4 Na 0.875 0.993 0.618
Ge1 Ge 0.250 0.750 0.500
Ge2 Ge 0.500 0.500 0.000
H1 H 0.000 0.000 0.000
H2 H 0.750 0.250 0.500
# Space-group type: I-42d, No. 122
# Size of the total moment: 0.00 μB per formula unit

<ii>
# PBE Na2GeH, optimized geometry
data_Na2GeH
_space_group_name_H-M_alt 'P 1'
_space_group_IT_number 1
_cell_length_a 4.917
_cell_length_b 4.917
_cell_length_c 4.917
_cell_angle_alpha 60.00
_cell_angle_beta 60.00
_cell_angle_gamma 60.00
loop_
_space_group_symop_operation_xyz
'x,y,z'
loop_
_atom_site_label
_atom_site_type_symbol
_atom_site_fract_x
_atom_site_fract_y
_atom_site_fract_z
Na1 Na 0.250 0.250 0.250
Na2 Na 0.750 0.750 0.750
Ge1 Ge 0.000 0.000 0.000
H1 H 0.500 0.500 0.500
# Space-group type: Fm-3m, No. 225
# Size of the total moment: 1.39 μB per formula unit

Tell me which of them is the most stable. Sure, it is <i>.